! ZnCuHg, optimized geometry, DFT PBE; values from VASP
! ΔH_f (0 K), eV/atom: 0.1841
! Theoretical density, Mg/m³: 10.9
! E_tot, eV per cell: -5.1
! Spin magnetization, μB/cell: 0.0
! Crystal system: trigonal
! Energy relative to the lowest polymorph listed for this composition, meV per atom: 76
! DOS at the Fermi energy, states/eV/f.u.: 0.89
! Space group: No. 156
&SYSTEM
  ibrav = 0, nat = 3, ntyp = 3
/
ATOMIC_SPECIES
Hg 200.59 Hg.upf
Cu 63.55 Cu.upf
Zn 65.41 Zn.upf
CELL_PARAMETERS angstrom
4.378 0.000 0.000
-2.189 3.791 0.000
0.000 0.000 3.027
ATOMIC_POSITIONS crystal
Hg 0.667 0.333 0.336
Cu 0.000 0.000 0.873
Zn 0.333 0.667 0.791